(1)
A plane-wave DFT calculation with PBE was carried out for KBeRe2O8 after structural relaxation.

## Properties
As for the calculated volume: 17.703 A^3/atom. The formation energy from raw total energies is -1.671 eV per atom.

a b c (Å): 12.4747 5.2292 7.7530
angles (deg): 90.00 122.85 90.00
With the nearest neighbours (Å) after each atom.
Space group C2/m (No. 12)
Inequivalent atoms, fractional coordinates:
K: 0.0000 0.0000 0.0000 x2  2 O 2.71
Be: 0.0000 0.5000 0.5000 x2  4 O 1.71
Re: 0.1900 0.0000 0.6469 x4  4 O 1.76-1.80
O: 0.1064 0.2729 0.6587 x8  1 Be 1.71, 1 Re 1.80
O: 0.1496 0.5000 0.1476 x4  1 Re 1.76
O: 0.1772 0.0000 0.4091 x4  1 Re 1.76

(2)
A plane-wave DFT calculation with PBE was carried out for Pa2Be3Ga4Cu after structural relaxation.

## Properties
As for the calculated volume: 15.810 A^3/atom. Its formation enthalpy at 0 K is -235 kJ/mol of formula units.

a b c (Å): 4.0732 4.0732 9.5295
angles (deg): 90.00 90.00 90.00
With the nearest neighbours (Å) after each atom.
Space group P-4m2 (No. 115)
Inequivalent atoms, fractional coordinates:
Pa: 0.0000 0.5000 0.2462 x2  8 Ga 3.07-3.16, 6 Be 3.11, 2 Cu 3.11
Be: 0.0000 0.0000 0.0000 x1  4 Ga 2.40
Be: 0.0000 0.5000 0.6304 x2  5 Ga 2.24-2.39
Ga: 0.0000 0.0000 0.5000 x1  4 Be 2.39
Ga: 0.0000 0.5000 0.8659 x2  3 Be 2.24-2.40, 2 Cu 2.40
Ga: 0.5000 0.5000 0.5000 x1  4 Be 2.39
Cu: 0.5000 0.5000 0.0000 x1  4 Ga 2.40

(3)
A plane-wave DFT calculation with PBE was carried out for La2BeFe after structural relaxation.

## Properties
As for the calculated volume: 22.435 A^3/atom. Its formation enthalpy at 0 K is 214 kJ/mol of formula units.

a b c (Å): 7.7909 7.7909 5.9138
angles (deg): 90.00 90.00 90.00
With the nearest neighbours (Å) after each atom.
Space group I-42d (No. 122)
Inequivalent atoms, fractional coordinates:
La: 0.1948 0.2500 0.1250 x8  2 Fe 2.58
Be: 0.0000 0.0000 0.5000 x4  2 Fe 2.96, 4 La 3.16
Fe: 0.0000 0.0000 0.0000 x4  4 La 2.58

(4)
A plane-wave DFT calculation with PBE was carried out for CaHoTlPb after structural relaxation.

## Properties
As for the calculated volume: 28.544 A^3/atom. Its formation enthalpy at 0 K is -157 kJ/mol of formula units. The value obtained for the energy above the most stable polymorph in this dataset is 0 meV per atom.

a b c (Å): 4.1838 5.1731 5.2754
angles (deg): 90.00 90.00 90.00
With the nearest neighbours (Å) after each atom.
Space group Pmmm (No. 47)
Inequivalent atoms, fractional coordinates:
Ca: 0.0000 0.0000 0.0000 x1  4 Tl 3.33, 4 Pb 3.37, 4 Ho 3.69
Ho: 0.0000 0.5000 0.5000 x1  4 Pb 3.33, 4 Tl 3.37, 4 Ca 3.69
Tl: 0.5000 0.5000 0.0000 x1  4 Ca 3.33, 4 Ho 3.37, 4 Pb 3.69
Pb: 0.5000 0.0000 0.5000 x1  4 Ho 3.33, 4 Ca 3.37, 4 Tl 3.69

(5)
A plane-wave DFT calculation with PBE was carried out for Ta2N3O after structural relaxation.

## Properties
As for the calculated volume: 11.939 A^3/atom. The formation energy from raw total energies is -0.438 eV per atom.

a b c (Å): 5.4424 5.4424 2.7926
angles (deg): 90.00 90.00 120.00
With the nearest neighbours (Å) after each atom.
Space group P6/mmm (No. 191)
Inequivalent atoms, fractional coordinates:
Ta: 0.3333 0.6667 0.0000 x2  6 N 2.10
N: 0.0000 0.5000 0.5000 x3  4 Ta 2.10
O: 0.0000 0.0000 0.5000 x1  6 N 2.72, 2 O 2.79

(6)
A plane-wave DFT calculation with PBE was carried out for CeP2Pd3 after structural relaxation.

## Properties
As for the calculated volume: 17.003 A^3/atom. Its formation enthalpy at 0 K is -509 kJ/mol of formula units.

a b c (Å): 16.2117 3.9893 9.9345
angles (deg): 90.00 107.70 90.00
With the nearest neighbours (Å) after each atom.
Space group C2/m (No. 12)
Inequivalent atoms, fractional coordinates:
Ce: 0.0000 0.0000 0.0000 x2  6 P 3.02-3.11, 6 Pd 3.15-3.21
Ce: 0.1532 0.0000 0.7026 x4  8 Pd 3.08-3.34, 6 P 3.08-3.15
P: 0.0367 0.5000 0.7966 x4  3 Pd 2.41-2.50
P: 0.1340 0.5000 0.4540 x4  5 Pd 2.32-2.56
P: 0.2001 0.0000 0.1322 x4  6 Pd 2.46-2.53
Pd: 0.0000 0.5000 0.5000 x2  2 P 2.35
Pd: 0.0421 0.0000 0.3316 x4  4 P 2.50-2.56
Pd: 0.1322 0.5000 0.2126 x4  3 P 2.39-2.52
Pd: 0.1788 0.5000 0.9683 x4  4 P 2.41-2.53
Pd: 0.2253 0.0000 0.3947 x4  2 P 2.32-2.51